# 1
# Na2NpBr6

Crystalline Na2NpBr6 at its relaxed geometry (PBE-GGA, Alexandria).

Properties
For the formation energy (no corrections), the calculation gives -1.381 eV/atom. Its crystal system is tetragonal. As for the space group: P4_2/mnm. The total moment comes out at 6.00 μB per cell.

```
Na2NpBr6
1.0
-2.997 -2.420 5.796
4.308 -5.466 -0.054
8.563 6.677 7.216
Na Np Br
4 2 12
Cartesian
2.861 2.231 2.411
7.798 1.627 8.890
2.075 -2.835 4.067
5.701 4.446 4.805
0.000 0.000 0.000
4.937 -0.604 6.479
3.351 -0.120 4.246
3.857 -3.167 6.464
10.126 0.760 7.168
5.644 2.629 10.758
4.229 -3.838 2.199
-0.253 -1.969 5.789
6.016 1.958 6.493
6.522 -1.088 8.711
0.371 -2.234 1.627
0.939 -5.651 4.114
7.006 -1.467 4.821
2.867 0.259 8.136
```

***

# 2
# Na5Np2Br12

Crystalline Na5Np2Br12 at its relaxed geometry (PBE-GGA, Alexandria).

Properties
For the formation energy (no corrections), the calculation gives -1.357 eV/atom. Its crystal system is monoclinic. As for the space group: C2/m. The total moment comes out at 7.00 μB per cell.

```
Na5Np2Br12
1.0
-0.326 8.148 1.670
-7.611 -4.769 1.039
6.139 -1.588 8.945
Na Np Br
5 2 12
Cartesian
-0.659 -1.314 6.285
-3.239 -0.902 3.768
3.069 -0.794 4.472
1.441 2.693 7.886
-1.140 3.106 5.369
-0.245 6.122 1.255
-0.081 2.026 0.415
-6.540 3.151 4.094
0.420 -3.823 8.570
0.261 0.170 9.389
-2.694 -3.303 5.163
-2.858 0.793 6.002
4.608 2.728 8.332
-6.406 -0.937 3.322
0.896 5.094 6.491
1.060 0.999 5.652
-2.219 5.614 3.084
-2.059 1.621 2.265
4.741 -1.360 7.559
```

***

# 3
# NaNpBr2

Crystalline NaNpBr2 at its relaxed geometry (PBE-GGA, Alexandria).

Properties
For the formation energy (no corrections), the calculation gives -0.784 eV/atom. Its crystal system is trigonal. As for the space group: R-3m. The total moment comes out at 5.16 μB per cell.

```
NaNpBr2
1.0
-2.893 -0.216 2.428
-1.760 -3.302 0.556
5.090 -3.412 8.711
Np Na Br
1 1 2
Cartesian
0.219 -3.465 5.847
0.000 0.000 0.000
3.075 -2.732 6.369
-2.638 -4.198 5.325
```

***

# 4
# Na3Np5Br12

Crystalline Na3Np5Br12 at its relaxed geometry (PBE-GGA, Alexandria).

Properties
For the formation energy (no corrections), the calculation gives -0.869 eV/atom. Its crystal system is cubic. As for the space group: Ia-3d. The total moment comes out at 102.14 μB per cell.

```
Na3Np5Br12
1.0
-2.882 -14.211 -5.429
13.591 0.033 7.418
-11.241 4.158 9.803
Np Na Br
20 12 48
Cartesian
1.926 -0.724 4.554
6.796 0.017 3.709
0.000 0.000 0.000
0.912 -4.801 1.044
-7.061 -5.027 2.187
5.354 -7.089 0.995
5.618 -0.192 8.561
-10.298 -7.016 5.433
2.118 -9.079 4.241
-7.812 -2.207 6.244
7.281 -7.814 5.548
-0.266 -5.010 5.896
-1.441 -7.106 -2.714
-5.620 2.079 4.902
-2.649 -0.942 7.552
9.767 -3.004 6.359
1.175 2.096 8.611
-6.150 -9.828 3.231
-1.444 -5.219 10.748
-2.458 -9.296 7.238
1.530 -10.126 -0.065
6.266 -11.890 2.039
2.087 -2.706 9.655
-3.237 -1.989 3.246
-3.633 -11.391 -1.372
4.603 -4.269 5.051
-5.135 -5.751 6.741
3.101 1.371 13.165
2.705 -8.031 8.546
-2.619 -7.315 2.138
-6.798 1.870 9.754
-2.062 0.106 11.857
-0.926 -10.043 -2.512
1.751 -2.873 6.445
-0.779 -12.349 0.350
0.020 -7.269 -0.112
0.523 -5.652 8.707
3.152 -12.784 0.802
5.102 -2.948 7.958
10.658 -0.536 7.515
3.709 -5.363 10.522
4.084 -9.512 2.199
-0.325 -9.494 2.797
9.622 -11.526 2.836
3.275 0.529 10.049
3.595 -4.915 2.050
8.060 0.223 10.006
-5.944 -3.338 4.385
-0.418 -0.442 2.926
6.982 -6.075 3.287
6.765 -10.570 4.946
4.269 -1.445 3.066
3.095 -2.060 12.656
2.294 -6.491 5.466
2.417 -10.817 6.502
-7.954 -7.299 7.061
-2.826 -3.529 6.327
-2.949 0.797 5.291
7.422 -2.721 4.732
-7.297 0.549 6.847
-3.627 -7.961 -0.864
-4.801 -8.575 8.727
-7.513 -3.945 8.505
5.412 -6.683 7.407
-0.114 -9.578 8.866
-8.592 -10.243 1.787
-3.807 -10.549 1.743
-10.154 1.506 8.956
-4.127 -5.105 9.743
-4.241 -4.657 1.270
-4.616 -0.508 9.593
-0.207 -0.527 8.996
-11.190 -9.484 4.277
-5.634 -7.072 3.834
-0.552 -2.751 11.905
-3.683 2.764 10.990
-1.055 -4.368 3.086
0.247 2.329 11.442
-2.283 -7.147 5.347
0.394 0.023 14.304
```

***

# 5
# NaNpBr5

Crystalline NaNpBr5 at its relaxed geometry (PBE-GGA, Alexandria).

Properties
For the formation energy (no corrections), the calculation gives -1.285 eV/atom. Its crystal system is monoclinic. As for the space group: C2/c. The total moment comes out at 6.00 μB per cell. Its excess energy over the best structure of this formula in the dataset is 0.003 eV per atom.

```
NaNpBr5
1.0
-6.570 2.183 -3.025
-5.616 -1.162 4.919
-3.345 9.470 4.389
Na Np Br
2 2 10
Cartesian
-6.949 2.948 1.878
-8.582 7.543 4.405
0.000 0.000 0.000
-1.673 4.735 2.194
-9.887 2.369 1.374
-6.649 4.239 4.531
-11.396 6.531 4.929
-7.303 4.189 -1.069
-6.817 0.140 2.826
-8.714 10.350 3.457
-8.228 6.302 7.352
-4.135 3.960 1.353
-8.882 6.251 1.751
-5.644 8.122 4.908
```

***

# 6
# NaNp2Br8

Crystalline NaNp2Br8 at its relaxed geometry (PBE-GGA, Alexandria).

Properties
For the formation energy (no corrections), the calculation gives -1.258 eV/atom. Its crystal system is monoclinic. As for the space group: C2/m. The total moment comes out at 7.00 μB per cell. Its excess energy over the best structure of this formula in the dataset is 0.025 eV per atom.

```
NaNp2Br8
1.0
-5.568 -0.895 1.480
1.167 -6.997 -3.497
2.930 -0.030 7.347
Na Np Br
1 2 8
Cartesian
-2.784 -0.448 0.740
2.371 -2.237 3.911
1.726 -4.790 -0.062
-2.022 -7.396 2.995
-1.551 -5.534 5.894
0.879 -4.500 2.748
-1.187 -5.746 -0.114
-0.284 -2.176 5.443
-2.350 -3.422 2.581
0.080 -2.388 -0.564
0.551 -0.526 2.334
```

***

# 7
# Na2NpBr8

Crystalline Na2NpBr8 at its relaxed geometry (PBE-GGA, Alexandria).

Properties
For the formation energy (no corrections), the calculation gives -1.107 eV/atom. Its crystal system is monoclinic. As for the space group: C2/m. The total moment comes out at 3.00 μB per cell. Its excess energy over the best structure of this formula in the dataset is 0.000 eV per atom.

```
Na2NpBr8
1.0
-2.159 -6.929 -1.197
-1.355 -3.656 6.957
-7.934 -0.512 0.628
Na Np Br
2 1 8
Cartesian
-3.396 -3.969 1.558
-8.052 -7.127 4.829
0.000 0.000 0.000
-2.362 -4.637 4.576
-5.134 -8.348 5.614
-2.023 -1.295 1.460
-9.425 -9.802 4.928
-6.314 -2.748 0.774
-9.086 -6.460 1.811
-5.253 -6.275 2.344
-6.195 -4.821 4.044
```

***

# 8
# NaNp2Br11

Crystalline NaNp2Br11 at its relaxed geometry (PBE-GGA, Alexandria).

Properties
For the formation energy (no corrections), the calculation gives -1.103 eV/atom. Its crystal system is orthorhombic. As for the space group: Ibam. The total moment comes out at 8.00 μB per cell.

```
NaNp2Br11
1.0
13.795 0.000 7.191
6.168 9.106 4.994
2.639 0.711 11.766
Na Np Br
2 4 22
Cartesian
16.952 7.362 17.963
5.651 2.454 5.988
13.141 6.819 10.974
9.461 2.997 12.976
16.200 2.621 16.875
6.402 7.195 7.076
13.700 7.494 13.469
8.902 2.322 10.482
7.603 4.879 12.974
15.134 0.740 15.353
14.999 4.938 10.977
7.468 9.076 8.598
8.767 6.520 6.105
13.835 3.297 17.845
11.301 4.908 11.975
0.000 0.000 0.000
14.888 8.587 10.071
7.714 1.229 13.880
15.941 4.390 14.926
6.661 5.427 9.025
11.137 8.643 10.917
11.465 1.174 13.033
10.183 3.697 15.493
4.882 1.922 8.835
12.419 6.119 8.457
17.720 7.895 15.116
5.207 5.371 5.465
17.395 4.445 18.485
```

***

In the order shown, the computed VASP energy values come out to -4.23; -4.12; -5.19; -5.31; -4.52; -4.95; -3.74; -4.36 eV per atom.